Computed, not measured: a relaxed structure of Zr2CF at the PBE-GGA level of DFT.

a b c (Å): 7.157 7.157 7.157
angles (deg): 26.77 26.77 26.77
Element x y z (fractional)
Zr1 0.104 0.104 0.104
Zr2 0.896 0.896 0.896
C1 0.500 0.500 0.500
F1 0.000 0.000 0.000

space group	R-3m
total energy	-8.4510	eV per atom
E above lowest polymorph	0	meV/atom



Computed, not measured: a relaxed structure of ZrC3F at the PBE-GGA level of DFT.

a b c (Å): 3.725 3.725 3.725
angles (deg): 90.00 90.00 90.00
Element x y z (fractional)
Zr1 0.000 0.000 0.000
C1 0.000 0.500 0.500
C2 0.500 0.000 0.500
C3 0.500 0.500 0.000
F1 0.500 0.500 0.500

space group	Pm-3m
total energy	-5.6427	eV per atom
E above lowest polymorph	0	meV/atom



Computed, not measured: a relaxed structure of ZrC2F at the PBE-GGA level of DFT.

a b c (Å): 9.081 9.081 9.081
angles (deg): 159.99 159.99 28.45
Element x y z (fractional)
Zr1 0.375 0.625 0.750
Zr2 0.625 0.375 0.250
C1 0.000 0.500 0.500
C2 0.500 0.000 0.000
C3 0.500 0.500 0.000
C4 0.500 0.500 0.500
F1 0.125 0.875 0.250
F2 0.875 0.125 0.750

space group	I4_1/amd
total energy	-7.2268	eV per atom
E above lowest polymorph	0	meV/atom



Computed, not measured: a relaxed structure of ZrCF2 at the PBE-GGA level of DFT.

a b c (Å): 3.932 3.932 3.932
angles (deg): 60.00 60.00 60.00
Element x y z (fractional)
Zr1 0.000 0.000 0.000
C1 0.500 0.500 0.500
F1 0.250 0.250 0.250
F2 0.750 0.750 0.750

space group	Fm-3m
total energy	-6.0205	eV per atom
E above lowest polymorph	0	meV/atom



Computed, not measured: a relaxed structure of ZrCF2 at the PBE-GGA level of DFT.

a b c (Å): 9.347 9.347 9.347
angles (deg): 17.80 17.80 17.80
Element x y z (fractional)
Zr1 0.000 0.000 0.000
C1 0.500 0.500 0.500
F1 0.388 0.388 0.388
F2 0.612 0.612 0.612

space group	R-3m
total energy	-5.7017	eV per atom
E above lowest polymorph	319	meV/atom



Computed, not measured: a relaxed structure of Zr2CF at the PBE-GGA level of DFT.

a b c (Å): 4.171 4.171 4.171
angles (deg): 60.00 60.00 60.00
Element x y z (fractional)
Zr1 0.250 0.250 0.250
Zr2 0.750 0.750 0.750
C1 0.000 0.000 0.000
F1 0.500 0.500 0.500

space group	Fm-3m
total energy	-7.8809	eV per atom
E above lowest polymorph	570	meV/atom



Computed, not measured: a relaxed structure of FeC at the PBE-GGA level of DFT.

a b c (Å): 5.134 5.134 5.134
angles (deg): 151.75 146.93 44.04
Element x y z (fractional)
Fe1 0.370 0.120 0.250
Fe2 0.630 0.880 0.750
C1 0.125 0.375 0.750
C2 0.875 0.625 0.250

space group	Imma
total energy	-7.9231	eV per atom
calculated formation energy	0.920	eV/atom



Computed, not measured: a relaxed structure of FeC3 at the PBE-GGA level of DFT.

a b c (Å): 3.653 3.653 2.726
angles (deg): 90.00 90.00 123.23
Element x y z (fractional)
Fe1 0.000 0.000 0.000
C1 0.000 0.500 0.500
C2 0.500 0.000 0.500
C3 0.500 0.500 0.000

space group	Cmmm
total energy	-6.5856	eV per atom
calculated formation energy	2.448	eV/atom
E above lowest polymorph	1877	meV/atom



Computed, not measured: a relaxed structure of FeC at the PBE-GGA level of DFT.

a b c (Å): 6.271 6.271 3.599
angles (deg): 90.00 90.00 120.00
Element x y z (fractional)
Fe1 0.000 0.358 0.250
Fe2 0.000 0.642 0.750
Fe3 0.358 0.000 0.250
Fe4 0.358 0.358 0.750
Fe5 0.642 0.000 0.750
Fe6 0.642 0.642 0.250
C1 0.109 0.416 0.750
C2 0.307 0.891 0.750
C3 0.416 0.307 0.250
C4 0.584 0.693 0.750
C5 0.693 0.109 0.250
C6 0.891 0.584 0.250

space group	P6_3/m
total energy	-8.3423	eV per atom
calculated formation energy	0.501	eV/atom



Computed, not measured: a relaxed structure of FeC2 at the PBE-GGA level of DFT.

a b c (Å): 5.311 5.311 2.719
angles (deg): 90.00 90.00 120.00
Element x y z (fractional)
Fe1 0.000 0.000 0.000
Fe2 0.333 0.667 0.500
Fe3 0.667 0.333 0.500
C1 0.000 0.267 0.500
C2 0.000 0.630 0.000
C3 0.267 0.000 0.500
C4 0.370 0.370 0.000
C5 0.630 0.000 0.000
C6 0.733 0.733 0.500

space group	P-62m
total energy	-7.3056	eV per atom
calculated formation energy	1.665	eV/atom
E above lowest polymorph	1146	meV/atom



Computed, not measured: a relaxed structure of FeC3 at the PBE-GGA level of DFT.

a b c (Å): 11.084 11.084 11.084
angles (deg): 167.32 167.32 17.97
Element x y z (fractional)
Fe1 0.164 0.164 0.000
Fe2 0.836 0.836 0.000
C1 0.000 0.500 0.500
C2 0.250 0.750 0.500
C3 0.371 0.371 0.000
C4 0.500 0.000 0.500
C5 0.629 0.629 0.000
C6 0.750 0.250 0.500

space group	I4/mmm
total energy	-7.1702	eV per atom
calculated formation energy	1.863	eV/atom
E above lowest polymorph	1292	meV/atom



Computed, not measured: a relaxed structure of Fe2C at the PBE-GGA level of DFT.

a b c (Å): 5.104 3.372 5.892
angles (deg): 90.00 90.00 90.00
Element x y z (fractional)
Fe1 0.023 0.250 0.154
Fe2 0.136 0.250 0.583
Fe3 0.364 0.750 0.083
Fe4 0.477 0.750 0.654
Fe5 0.523 0.250 0.346
Fe6 0.636 0.250 0.917
Fe7 0.864 0.750 0.417
Fe8 0.977 0.750 0.846
C1 0.244 0.750 0.395
C2 0.256 0.250 0.895
C3 0.744 0.750 0.105
C4 0.756 0.250 0.605

space group	Pnma
total energy	-8.4639	eV per atom
calculated formation energy	0.253	eV/atom